Entry 1:
First-principles (meta-GGA SCAN) data for a crystal of BaCaMg2 relaxed with PBEsol, as listed in Alexandria.

Structure (extended XYZ):
```
4
Lattice="0.000 4.101 4.101 4.101 0.000 4.101 4.101 4.101 0.000" Properties=species:S:1:pos:R:3 pbc="T T T"
Ba 0.000 0.000 0.000
Ca 4.101 4.101 4.101
Mg 2.051 2.051 2.051
Mg 6.152 6.152 6.152
```

Magnetic moment, μB per atom: 0.00
Total energy, eV/cell: -59.31
E above lowest polymorph, eV per formula unit: 0.07

=====

Entry 2:
First-principles (meta-GGA SCAN) data for a crystal of BaCa2MgNb relaxed with PBEsol, as listed in Alexandria.

Structure (extended XYZ):
```
5
Lattice="5.853 0.000 0.000 0.000 5.853 0.000 0.000 0.000 6.198" Properties=species:S:1:pos:R:3 pbc="T T T"
Ba 0.000 0.000 0.000
Ca 0.000 2.926 3.099
Ca 2.926 0.000 3.099
Mg 0.000 0.000 3.099
Nb 2.926 2.926 0.000
```

Magnetic moment, μB per atom: 0.91
Total energy, eV/cell: -91.85

=====

Entry 3:
First-principles (meta-GGA SCAN) data for a crystal of BaCa2Mn relaxed with PBEsol, as listed in Alexandria.

Structure (extended XYZ):
```
4
Lattice="5.010 0.000 0.000 0.000 5.010 0.000 0.000 0.000 5.667" Properties=species:S:1:pos:R:3 pbc="T T T"
Ba 0.000 0.000 0.000
Ca 0.000 2.505 2.834
Ca 2.505 0.000 2.834
Mn 2.505 2.505 0.000
```

Magnetic moment, μB per atom: 1.19
Total energy, eV/cell: -76.04
E above lowest polymorph, eV per formula unit: 0.56

=====

Entry 4:
First-principles (meta-GGA SCAN) data for a crystal of BaCaMn relaxed with PBEsol, as listed in Alexandria.

Structure (extended XYZ):
```
3
Lattice="0.000 3.832 3.832 3.832 0.000 3.832 3.832 3.832 0.000" Properties=species:S:1:pos:R:3 pbc="T T T"
Ba 0.000 0.000 0.000
Ca 3.832 3.832 3.832
Mn 1.916 1.916 1.916
```

Magnetic moment, μB per atom: 1.42
Total energy, eV/cell: -66.23
E above lowest polymorph, eV per formula unit: 0.16

=====

Entry 5:
First-principles (meta-GGA SCAN) data for a crystal of BaCaMn2 relaxed with PBEsol, as listed in Alexandria.

Structure (extended XYZ):
```
4
Lattice="3.868 0.000 0.000 0.000 3.868 0.000 0.000 0.000 7.371" Properties=species:S:1:pos:R:3 pbc="T T T"
Ba 0.000 0.000 0.000
Ca 0.000 0.000 3.685
Mn 1.934 1.934 2.285
Mn 1.934 1.934 5.085
```

Magnetic moment, μB per atom: 1.94
Total energy, eV/cell: -84.56

=====

Entry 6:
First-principles (meta-GGA SCAN) data for a crystal of BaCa2Mn relaxed with PBEsol, as listed in Alexandria.

Structure (extended XYZ):
```
4
Lattice="3.792 0.000 0.000 0.000 3.792 0.000 0.000 0.000 9.778" Properties=species:S:1:pos:R:3 pbc="T T T"
Ba 0.000 0.000 0.000
Ca 1.896 1.896 3.155
Ca 1.896 1.896 6.622
Mn 0.000 0.000 4.889
```

Magnetic moment, μB per atom: 0.99
Total energy, eV/cell: -76.60
E above lowest polymorph, eV per formula unit: 0.00

=====

These records have density values of 2.72, 2.62, 3.18, 3.43, 4.33, 3.22 g/cm³, in the order they appear.
These records have energy relative to the elements values of -14.6, 494.7, 105.4, 119.6, 111.8, 51.6 kJ/mol of formula units, in the order they appear.